(1)
A PBEsol-optimized structure of K5Ag3, computed with meta-GGA SCAN.

Results
Total moment = 0.004 μB/cell
Excess energy over the best structure of this formula in the dataset = 0 meV per atom
N(E_F) = 0.49 states/eV/atom
V = 604.8 Å³/cell
E_form = 0.08 eV per atom

Unit cell a=10.0038 b=10.0038 c=6.9778 alpha=90.00 beta=90.00 gamma=120.00
Space group P6_3/mcm (No. 193)
Unique sites:
K 0.0000 0.2597 0.2500
K 0.3333 0.6667 0.0000
Ag 0.0000 0.3985 0.7500


(2)
A PBEsol-optimized structure of La5Hg, computed with meta-GGA SCAN.

Results
Total moment = 0.000 μB/cell
Excess energy over the best structure of this formula in the dataset = 0 meV per atom
N(E_F) = 1.15 states/eV/atom
V = 383.5 Å³/cell
E_form = -0.24 eV per atom

Unit cell a=12.4447 b=3.7426 c=8.7490 alpha=90.00 beta=109.76 gamma=90.00
Space group Cm (No. 8)
Unique sites:
La 0.0000 0.0000 0.0000
La 0.0065 0.0000 0.5886
La 0.1694 0.5000 0.3728
La 0.2113 0.5000 0.8852
La 0.3681 0.0000 0.2415
Hg 0.3200 0.0000 0.6726


(3)
A PBEsol-optimized structure of CdInP2, computed with meta-GGA SCAN.

Results
Total moment = 0.000 μB/cell
N(E_F) = 0.38 states/eV/atom
V = 84.6 Å³/cell
E_form = 0.34 eV per atom

Unit cell a=3.6181 b=3.6181 c=6.4593 alpha=90.00 beta=90.00 gamma=90.00
Space group P4/mmm (No. 123)
Unique sites:
Cd 0.0000 0.0000 0.0000
In 0.0000 0.0000 0.5000
P 0.5000 0.5000 0.1720


(4)
A PBEsol-optimized structure of ZrCrCu, computed with meta-GGA SCAN.

Results
Total moment = 13.792 μB/cell
N(E_F) = 0.60 states/eV/atom
V = 223.5 Å³/cell
E_form = 0.76 eV per atom

Unit cell a=6.0687 b=6.0687 c=6.0687 alpha=90.00 beta=90.00 gamma=90.00
Space group F-43m (No. 216)
Unique sites:
Zr 0.0000 0.0000 0.0000
Cr 0.2500 0.2500 0.7500
Cu 0.2500 0.2500 0.2500


(5)
A PBEsol-optimized structure of ZnAu3, computed with meta-GGA SCAN.

Results
Total moment = 0.000 μB/cell
N(E_F) = 0.26 states/eV/atom
V = 516.1 Å³/cell
E_form = -0.18 eV per atom

Unit cell a=16.6154 b=5.5809 c=5.5656 alpha=90.00 beta=90.00 gamma=90.00
Space group Cmce (No. 64)
Unique sites:
Zn 0.1360 0.0000 0.0000
Au 0.0000 0.1824 0.1832
Au 0.1191 0.0000 0.5000
Au 0.2500 0.2468 0.7500


(6)
A PBEsol-optimized structure of Cu2Pt, computed with meta-GGA SCAN.

Results
Total moment = 0.000 μB/cell
Excess energy over the best structure of this formula in the dataset = 36 meV per atom
N(E_F) = 0.37 states/eV/atom
V = 304.9 Å³/cell
E_form = -0.13 eV per atom

Unit cell a=8.6980 b=7.8267 c=4.5345 alpha=90.00 beta=99.05 gamma=90.00
Space group C2/c (No. 15)
Unique sites:
Cu 0.0000 0.0784 0.2500
Cu 0.0000 0.2445 0.7500
Cu 0.2435 0.0835 0.9973
Pt 0.0000 0.4151 0.2500
Pt 0.2500 0.2500 0.5000


(7)
A PBEsol-optimized structure of LiBe4Cu, computed with meta-GGA SCAN.

Results
Total moment = 0.004 μB/cell
N(E_F) = 0.19 states/eV/atom
V = 216.0 Å³/cell
E_form = -0.10 eV per atom

Unit cell a=5.9996 b=5.9996 c=5.9996 alpha=90.00 beta=90.00 gamma=90.00
Space group F-43m (No. 216)
Unique sites:
Li 0.0000 0.0000 0.0000
Be 0.1240 0.1240 0.3760
Cu 0.2500 0.2500 0.7500


(8)
A PBEsol-optimized structure of MnMo2W, computed with meta-GGA SCAN.

Results
Total moment = 1.753 μB/cell
Excess energy over the best structure of this formula in the dataset = 41 meV per atom
N(E_F) = 0.75 states/eV/atom
V = 57.0 Å³/cell
E_form = 0.09 eV per atom

Unit cell a=3.0647 b=4.2853 c=4.3389 alpha=90.00 beta=90.00 gamma=90.00
Space group Pmmm (No. 47)
Unique sites:
Mn 0.0000 0.0000 0.0000
Mo 0.0000 0.5000 0.5000
Mo 0.5000 0.0000 0.5000
W 0.5000 0.5000 0.0000


(9)
A PBEsol-optimized structure of LaY2RhBr, computed with meta-GGA SCAN.

Results
Total moment = 0.001 μB/cell
N(E_F) = 1.01 states/eV/atom
V = 152.5 Å³/cell
Uncorrected formation energy = 538 meV/atom

Unit cell a=5.7182 b=5.7182 c=4.6630 alpha=90.00 beta=90.00 gamma=90.00
Space group P4/mmm (No. 123)
Unique sites:
La 0.0000 0.0000 0.0000
Y 0.0000 0.5000 0.0000
Rh 0.0000 0.0000 0.5000
Br 0.5000 0.5000 0.5000


(10)
A PBEsol-optimized structure of TbMgGa, computed with meta-GGA SCAN.

Results
Total moment = 0.000 μB/cell
N(E_F) = 0.11 states/eV/atom
V = 197.7 Å³/cell
E_form = -0.56 eV per atom

Unit cell a=7.2100 b=7.2100 c=4.3921 alpha=90.00 beta=90.00 gamma=120.00
Space group P-62m (No. 189)
Unique sites:
Tb 0.0000 0.5740 0.0000
Mg 0.0000 0.2439 0.5000
Ga 0.0000 0.0000 0.0000
Ga 0.3333 0.6667 0.5000


(11)
A PBEsol-optimized structure of KVH2SeO7, computed with meta-GGA SCAN.

Results
Total moment = 0.199 μB/cell
N(E_F) = 0.00 states/eV/atom
V = 588.8 Å³/cell

Unit cell a=7.3052 b=10.6102 c=10.1771 alpha=90.00 beta=131.72 gamma=90.00
Space group P2_1/c (No. 14)
Unique sites:
K 0.1671 0.0699 0.2412
V 0.4151 0.0888 0.7508
H 0.0560 0.6668 0.8802
H 0.0624 0.6158 0.0334
Se 0.3998 0.6984 0.3610
O 0.0445 0.1534 0.5862
O 0.1870 0.7006 0.8024
O 0.2484 0.5605 0.2591
O 0.3049 0.5461 0.5794
O 0.3720 0.0408 0.5798
O 0.3733 0.1843 0.9233
O 0.4833 0.2328 0.2327


(12)
A PBEsol-optimized structure of CaRhBr2, computed with meta-GGA SCAN.

Results
Total moment = 0.005 μB/cell
Excess energy over the best structure of this formula in the dataset = 0 meV per atom
N(E_F) = 0.80 states/eV/atom
V = 78.5 Å³/cell
Uncorrected formation energy = -595 meV/atom

Unit cell a=4.6981 b=4.6981 c=3.5579 alpha=90.00 beta=90.00 gamma=90.00
Space group P4/mmm (No. 123)
Unique sites:
Ca 0.0000 0.0000 0.0000
Rh 0.5000 0.5000 0.0000
Br 0.0000 0.5000 0.5000


(13)
A PBEsol-optimized structure of CdHg, computed with meta-GGA SCAN.

Results
Total moment = 0.000 μB/cell
N(E_F) = 0.30 states/eV/atom
V = 90.9 Å³/cell
E_form = 0.04 eV per atom

Unit cell a=3.0700 b=3.0700 c=11.1334 alpha=90.00 beta=90.00 gamma=120.00
Space group P6_3mc (No. 186)
Unique sites:
Cd 0.3333 0.6667 0.0000
Hg 0.3333 0.6667 0.7390


(14)
A PBEsol-optimized structure of LaGePd, computed with meta-GGA SCAN.

Results
Total moment = 0.000 μB/cell
N(E_F) = 0.42 states/eV/atom
V = 257.8 Å³/cell
E_form = -0.99 eV per atom

Unit cell a=10.4485 b=4.4699 c=7.5853 alpha=90.00 beta=133.31 gamma=90.00
Space group C2/m (No. 12)
Unique sites:
La 0.2387 0.0000 0.2078
Ge 0.0470 0.0000 0.3868
Pd 0.0291 0.5000 0.2124


(15)
A PBEsol-optimized structure of ZrTa2Fe2, computed with meta-GGA SCAN.

Results
Total moment = 0.000 μB/cell
N(E_F) = 0.65 states/eV/atom
V = 164.2 Å³/cell
E_form = 0.02 eV per atom

Unit cell a=4.1292 b=4.1292 c=9.6319 alpha=90.00 beta=90.00 gamma=90.00
Space group I4/mmm (No. 139)
Unique sites:
Zr 0.0000 0.0000 0.0000
Ta 0.0000 0.5000 0.2500
Fe 0.0000 0.0000 0.3889


(16)
A PBEsol-optimized structure of TlCdPb2, computed with meta-GGA SCAN.

Results
Total moment = 0.000 μB/cell
Excess energy over the best structure of this formula in the dataset = 0 meV per atom
N(E_F) = 0.45 states/eV/atom
V = 109.1 Å³/cell
E_form = 0.03 eV per atom

Unit cell a=3.4396 b=3.4396 c=9.2189 alpha=90.00 beta=90.00 gamma=90.00
Space group P4/mmm (No. 123)
Unique sites:
Tl 0.0000 0.0000 0.0000
Cd 0.0000 0.0000 0.5000
Pb 0.5000 0.5000 0.2687


(17)
A PBEsol-optimized structure of MnTl3Ir, computed with meta-GGA SCAN.

Results
Total moment = 4.593 μB/cell
N(E_F) = 0.61 states/eV/atom
V = 122.4 Å³/cell
E_form = 1.08 eV per atom

Unit cell a=4.9648 b=4.9648 c=4.9648 alpha=90.00 beta=90.00 gamma=90.00
Space group Pm-3m (No. 221)
Unique sites:
Mn 0.0000 0.0000 0.0000
Tl 0.0000 0.0000 0.5000
Ir 0.5000 0.5000 0.5000


(18)
A PBEsol-optimized structure of CaY3Ir, computed with meta-GGA SCAN.

Results
Total moment = 0.002 μB/cell
Excess energy over the best structure of this formula in the dataset = 0 meV per atom
N(E_F) = 0.99 states/eV/atom
V = 288.4 Å³/cell
E_form = -0.50 eV per atom

Unit cell a=8.8178 b=3.7321 c=9.0444 alpha=90.00 beta=104.29 gamma=90.00
Space group P2_1/m (No. 11)
Unique sites:
Ca 0.0232 0.2500 0.1865
Y 0.1987 0.2500 0.5847
Y 0.3375 0.2500 0.9783
Y 0.4011 0.7500 0.3378
Ir 0.4046 0.7500 0.7630


(19)
A PBEsol-optimized structure of CoHgMo2, computed with meta-GGA SCAN.

Results
Total moment = 4.186 μB/cell
N(E_F) = 0.79 states/eV/atom
V = 181.5 Å³/cell
E_form = 0.57 eV per atom

Unit cell a=2.7621 b=2.7621 c=27.4675 alpha=90.00 beta=90.00 gamma=120.00
Space group R-3m (No. 166, hexagonal axes)
Unique sites:
Co 0.0000 0.0000 0.0000
Hg 0.0000 0.0000 0.5000
Mo 0.0000 0.0000 0.2596


(20)
A PBEsol-optimized structure of CoSbPt2, computed with meta-GGA SCAN.

Results
Total moment = 7.804 μB/cell
N(E_F) = 0.48 states/eV/atom
V = 192.9 Å³/cell
Uncorrected formation energy = 182 meV/atom

Unit cell a=2.9345 b=2.9345 c=25.8629 alpha=90.00 beta=90.00 gamma=120.00
Space group R-3m (No. 166, hexagonal axes)
Unique sites:
Co 0.0000 0.0000 0.0000
Sb 0.0000 0.0000 0.5000
Pt 0.0000 0.0000 0.2577


(21)
A PBEsol-optimized structure of Be3N2, computed with meta-GGA SCAN.

Results
Total moment = 0.000 μB/cell
Excess energy over the best structure of this formula in the dataset = 30 meV per atom
N(E_F) = 0.00 states/eV/atom
V = 67.8 Å³/cell
Uncorrected formation energy = -1244 meV/atom

Unit cell a=2.8385 b=2.8385 c=9.7194 alpha=90.00 beta=90.00 gamma=120.00
Space group P6_3/mmc (No. 194)
Unique sites:
Be 0.0000 0.0000 0.2500
Be 0.3333 0.6667 0.0782
N 0.0000 0.0000 0.0000
N 0.3333 0.6667 0.2500


(22)
A PBEsol-optimized structure of SrLa2Ni, computed with meta-GGA SCAN.

Results
Total moment = 1.246 μB/cell
Excess energy over the best structure of this formula in the dataset = 0 meV per atom
N(E_F) = 1.30 states/eV/atom
V = 415.5 Å³/cell
E_form = -0.08 eV per atom

Unit cell a=4.0037 b=4.0037 c=29.9293 alpha=90.00 beta=90.00 gamma=120.00
Space group R-3m (No. 166, hexagonal axes)
Unique sites:
Sr 0.0000 0.0000 0.0000
La 0.0000 0.0000 0.2186
Ni 0.0000 0.0000 0.5000


(23)
A PBEsol-optimized structure of CaLaVCrO6, computed with meta-GGA SCAN.

Results
Total moment = 4.000 μB/cell
N(E_F) = 0.20 states/eV/atom
V = 218.9 Å³/cell
Uncorrected formation energy = -3151 meV/atom

Unit cell a=5.3662 b=5.3797 c=9.2873 alpha=90.00 beta=125.26 gamma=90.00
Space group Pc (No. 7)
Unique sites:
Ca 0.0000 0.2153 0.0000
La 0.4906 0.2731 0.5006
V 0.2445 0.2502 0.7510
Cr 0.7433 0.2510 0.2499
O 0.0532 0.0263 0.2796
O 0.4226 0.4691 0.2155
O 0.4910 0.0294 0.7218
O 0.5573 0.2567 0.9980
O 0.9413 0.2391 0.5026
O 0.9964 0.4641 0.7843


| no. | total DFT energy (no corrections) (eV per atom) |
| --- | --- |
| 1 | -16.89 |
| 2 | -47.52 |
| 3 | -20.81 |
| 4 | -20.67 |
| 5 | -55.42 |
| 6 | -33.66 |
| 7 | -5.94 |
| 8 | -39.34 |
| 9 | -29.87 |
| 10 | -23.26 |
| 11 | -9.59 |
| 12 | -21.18 |
| 13 | -49.25 |
| 14 | -32.65 |
| 15 | -40.00 |
| 16 | -63.56 |
| 17 | -60.20 |
| 18 | -33.36 |
| 19 | -38.24 |
| 20 | -48.56 |
| 21 | -7.57 |
| 22 | -31.25 |
| 23 | -15.75 |